No. 1
Here is Mn4FeRh after structural relaxation from Alexandria via LeMat-Bulk. Energies are from PBE-GGA.

Cell: 4.6286 4.6286 4.6286 Å, 60.00 60.00 60.00°
Last column: magnetic moment on the atom in μB.
Sites, in units of the cell vectors:
Fe: 0.0000 0.0000 0.0000  2.48
Mn: 0.3745 0.8764 0.3745  -0.22
Rh: 0.7500 0.7500 0.7500  0.04
Mn: 0.8764 0.3745 0.3745  -0.22
Mn: 0.3745 0.3745 0.8764  -0.22
Mn: 0.3745 0.3745 0.3745  -0.22

Computed properties:
formation energy from the elements: 0.13 eV per atom

***

No. 2
Here is Mn2FeRh2 after structural relaxation from Alexandria via LeMat-Bulk. Energies are from PBE-GGA.

Cell: 7.0279 7.0279 2.6166 Å, 90.00 90.00 90.00°
Sites, in units of the cell vectors:
Rh: 0.6308 0.1308 0.0000
Rh: 0.3692 0.8692 0.0000
Rh: 0.8692 0.6308 0.0000
Mn: 0.6687 0.8313 0.5000
Fe: 0.0000 0.0000 0.0000
Mn: 0.8313 0.3313 0.5000
Mn: 0.3313 0.1687 0.5000
Mn: 0.1687 0.6687 0.5000
Rh: 0.1308 0.3692 0.0000
Fe: 0.5000 0.5000 0.0000

Computed properties:
relative energy among the computed polymorphs: 61.8 meV per atom
formation energy from the elements: 0.41 eV per atom

***

No. 3
Here is MnFeRh2 after structural relaxation from Alexandria via LeMat-Bulk. Energies are from PBE-GGA.

Cell: 8.4078 8.4078 8.4078 Å, 19.01 19.01 19.01°
Last column: magnetic moment on the atom in μB.
Sites, in units of the cell vectors:
Fe: 0.7500 0.7500 0.7500  2.91
Mn: 0.2500 0.2500 0.2500  3.28
Rh: 0.4997 0.4997 0.4997  0.33
Rh: 0.0003 0.0003 0.0003  0.33

Computed properties:
formation energy from the elements: 0.05 eV per atom

***

> Which value of formation energy from the elements does entry 3 give?

0.05 eV per atom

***

> Number 2 is which compound?

Mn2FeRh2